HfCuH3 | the Alexandria database | PBE | relaxed; space-group type = No. 221; calculated volume = 8.09 A^3/atom; spin magnetization = 0.00 μB per atom; final energy = -4.711 eV/atom
1.0
-1.7986 -2.4688 1.5652
-1.5592 -0.7443 -2.9656
2.4726 -2.2652 -0.7315
H Hf Cu
3 1 1
Direct
0.0000 0.5000 0.0000
0.0000 0.0000 0.5000
0.5000 0.0000 0.0000
0.5000 0.5000 0.5000
0.0000 0.0000 0.0000


Cs2LiErF6 | the Alexandria database | PBE | relaxed; space-group type = No. 139; calculated volume = 17.65 A^3/atom; spin magnetization = 0.00 μB per atom; ΔE_f (raw) = -3.350 eV per atom
1.0
6.2975 0.0000 0.0000
0.0000 6.2998 0.0000
0.0000 0.0000 8.8975
Cs Li Er F
4 2 2 12
Direct
0.5000 0.7499 0.2500
0.0000 0.2501 0.7500
0.5000 0.7499 0.7500
0.0000 0.2501 0.2500
0.0000 0.7500 0.5000
0.5000 0.2500 0.0000
0.5000 0.2498 0.5000
0.0000 0.7502 0.0000
0.5000 0.2499 0.2548
0.5000 0.2499 0.7452
0.0000 0.7501 0.2452
0.0000 0.7501 0.7548
0.2550 0.0048 0.5000
0.7450 0.0048 0.5000
0.2550 0.4947 0.5000
0.7450 0.4947 0.5000
0.7550 0.5053 0.0000
0.2450 0.5053 0.0000
0.2450 0.9952 0.0000
0.7550 0.9952 0.0000


FePt3Rh2 | the Alexandria database | PBE | relaxed; space-group type = No. 15; calculated volume = 15.30 A^3/atom; spin magnetization = 0.70 μB per atom; ΔH_f (0 K) = 0.084 eV/atom
1.0
5.1650 -0.2390 0.1220
-0.4656 4.6995 -2.3977
0.2328 0.7261 7.2276
Fe Pt Rh
2 6 4
Direct
0.7500 0.3467 0.6935
0.2500 0.6533 0.3065
0.7500 0.8504 0.7008
0.2500 0.1496 0.2992
0.7123 0.9212 0.3531
0.2877 0.0788 0.6469
0.7877 0.4319 0.3531
0.2123 0.5681 0.6469
0.9382 0.7407 0.0017
0.5618 0.2610 0.0017
0.0618 0.2593 0.9983
0.4382 0.7390 0.9983


CeVRe | the Alexandria database | PBE | relaxed; space-group type = No. 107; calculated volume = 18.57 A^3/atom; spin magnetization = 0.00 μB per atom; ΔH_f (0 K) = 0.094 eV/atom
1.0
3.0973 0.0000 0.0000
0.0000 3.0973 0.0000
-1.5487 -1.5487 5.8075
Re Ce V
1 1 1
Direct
0.3052 0.3052 0.6105
0.9968 0.9968 0.9936
0.6980 0.6980 0.3960


PuSBr2 | the Alexandria database | PBE | relaxed; space-group type = No. 8; calculated volume = 33.69 A^3/atom; spin magnetization = 1.00 μB per atom; ΔE_f (raw) = -1.205 eV per atom
1.0
3.8282 0.0000 0.0000
-1.9141 4.4674 -1.3179
0.0000 -0.3575 7.9858
Pu S Br
1 1 2
Direct
0.7259 0.4518 0.3750
0.4376 0.8752 0.3750
0.0899 0.1797 0.0943
0.2466 0.4932 0.6557


InRhAu3 | the Alexandria database | PBE | relaxed; space-group type = No. 221; calculated volume = 26.12 A^3/atom; spin magnetization = 0.19 μB per atom; ΔH_f (0 K) = 0.644 eV/atom
1.0
5.0736 0.0000 0.0000
0.0000 5.0736 0.0000
0.0000 0.0000 5.0736
Rh Au In
1 3 1
Direct
0.0000 0.0000 0.0000
0.0000 0.5000 0.0000
0.0000 0.0000 0.5000
0.5000 0.0000 0.0000
0.5000 0.5000 0.5000


Y3ErHg7 | the Alexandria database | PBE | relaxed; space-group type = No. 63; calculated volume = 32.32 A^3/atom; spin magnetization = 0.00 μB per atom; ΔH_f (0 K) = -0.225 eV/atom
1.0
-2.3572 -0.0120 -2.7771
-10.5341 -1.7262 11.3375
-1.1046 12.5415 0.8833
Y Er Hg
6 2 14
Direct
0.0691 0.1381 0.4523
0.9309 0.8619 0.5477
0.1892 0.3785 0.7500
0.8108 0.6215 0.2500
0.0691 0.1381 0.0477
0.9309 0.8619 0.9523
0.9289 0.8579 0.2500
0.0711 0.1421 0.7500
0.4207 0.8414 0.7500
0.5793 0.1586 0.2500
0.4884 0.9768 0.3825
0.5116 0.0232 0.6175
0.5116 0.0232 0.8825
0.4884 0.9768 0.1175
0.3724 0.7448 0.3979
0.6276 0.2552 0.6021
0.2696 0.5392 0.4222
0.7304 0.4608 0.5778
0.7304 0.4608 0.9222
0.2696 0.5392 0.0778
0.3724 0.7448 0.1021
0.6276 0.2552 0.8979


BeTeOs2 | the Alexandria database | PBE | relaxed; space-group type = No. 225; calculated volume = 14.48 A^3/atom; spin magnetization = 0.00 μB per atom; ΔE_f (raw) = 0.475 eV per atom
1.0
2.8080 -1.7643 -2.8048
0.4784 -4.3135 -0.1706
-1.4654 -2.2132 -3.4379
Be Te Os
1 1 2
Direct
0.0000 0.0000 0.0000
0.5000 0.5000 0.5000
0.2500 0.2500 0.2500
0.7500 0.7500 0.7500